Ti2GaPtSe, optimized geometry, DFT PBE; M_tot = 2.15 μB/f.u.; N(E_F) = 0.9152 states/eV per atom; calculated volume = 114.4 Å³ per cell; uncorrected formation energy = 19 meV per atom; theoretical density = 6.38 g/cm³
1.0
-3.6064 0.7643 -3.3142
1.8258 -3.2858 -2.7445
-2.7904 -3.4267 2.2462
Ga Se Pt Ti
1 1 1 2
Cartesian
0.9129 -1.6429 -1.3722
-2.2855 -2.9741 -1.9062
0.0000 0.0000 0.0000
-1.3952 -1.7134 1.1231
-1.8032 0.3821 -1.6571